PbW2Se | PBE-GGA | optimized geometry

Calculated values
* formation energy (no corrections): 0.85 eV per atom
* relative energy among the computed polymorphs: 507 meV/atom
* N(E_F): 2.62 states/eV per cell
* space-group type: Imm2

a b c (Å): 5.8316 5.8316 5.8316
angles (deg): 147.48 131.00 60.05
Closest atoms and distances in Å follow each position.
Atoms (fractional coordinates):
Se: 0.2131 0.7131 0.5000  6 W 2.77-3.04
W: 0.9914 0.9914 0.0000  2 W 2.56, 2 Se 2.77
W: 0.7960 0.2960 0.5000  2 W 2.56
Pb: 0.4995 0.4995 0.0000  6 W 2.92-3.17, 2 Se 3.24, 2 Pb 3.27